[1]
Here is a relaxed structure of YAlSe from Alexandria via LeMat-Bulk. Energies are from PBE.

Summary:
- Size of the total moment: 0.7 μB per formula unit
- Relative energy among the computed polymorphs: 348 meV/atom
- Formation energy without anion corrections: -0.60 eV/atom
- Crystal system: trigonal
- DOS at the Fermi energy: 0.7387 states/eV/atom

Lattice parameters (Å, degrees): 3.678 3.678 6.122 90.00 90.00 120.00
Positions (direct):
Y 0.333 0.667 0.648
Al 0.000 0.000 0.033
Se 0.667 0.333 0.319

[2]
Here is a relaxed structure of Y2AlSe from Alexandria via LeMat-Bulk. Energies are from PBE.

Summary:
- Size of the total moment: 0.0 μB per formula unit
- Relative energy among the computed polymorphs: 183 meV/atom
- Formation energy without anion corrections: -0.97 eV/atom
- Crystal system: tetragonal
- DOS at the Fermi energy: 0.7276 states/eV/atom

Lattice parameters (Å, degrees): 4.164 4.164 5.929 90.00 90.00 90.00
Positions (direct):
Y 0.000 0.000 0.875
Y 0.500 0.500 0.375
Al 0.000 0.000 0.375
Se 0.500 0.500 0.875

[3]
Here is a relaxed structure of Y5AlSe4 from Alexandria via LeMat-Bulk. Energies are from PBE.

Summary:
- Size of the total moment: 0.0 μB per formula unit
- Formation energy without anion corrections: -1.51 eV/atom
- Crystal system: tetragonal
- DOS at the Fermi energy: 0.3463 states/eV/atom

Lattice parameters (Å, degrees): 5.822 7.160 7.160 80.49 66.01 66.01
Positions (direct):
Y 0.903 0.395 0.801
Y 0.298 0.801 0.605
Y 0.704 0.199 0.395
Y 0.099 0.605 0.199
Y 0.501 0.000 0.000
Al 0.001 0.000 0.000
Se 0.402 0.401 0.797
Se 0.803 0.797 0.599
Se 0.199 0.203 0.401
Se 0.600 0.599 0.203

[4]
Here is a relaxed structure of Y2AlSe2 from Alexandria via LeMat-Bulk. Energies are from PBE.

Summary:
- Size of the total moment: 0.0 μB per formula unit
- Relative energy among the computed polymorphs: 0 meV/atom
- Formation energy without anion corrections: -1.00 eV/atom
- Crystal system: tetragonal
- DOS at the Fermi energy: 1.0782 states/eV/atom

Lattice parameters (Å, degrees): 8.032 8.032 3.756 90.00 90.00 90.00
Positions (direct):
Y 0.339 0.839 0.000
Y 0.839 0.661 0.000
Y 0.661 0.161 0.000
Y 0.161 0.339 0.000
Al 0.000 0.000 0.000
Al 0.500 0.500 0.000
Se 0.142 0.642 0.500
Se 0.642 0.858 0.500
Se 0.858 0.358 0.500
Se 0.358 0.142 0.500

[5]
Here is a relaxed structure of Y4AlSe from Alexandria via LeMat-Bulk. Energies are from PBE.

Summary:
- Size of the total moment: 0.0 μB per formula unit
- Formation energy without anion corrections: 0.24 eV/atom
- Crystal system: cubic
- DOS at the Fermi energy: 0.9590 states/eV/atom

Lattice parameters (Å, degrees): 6.230 6.230 6.230 60.00 60.00 60.00
Positions (direct):
Y 0.871 0.376 0.376
Y 0.376 0.376 0.871
Y 0.376 0.871 0.376
Y 0.376 0.376 0.376
Al 0.750 0.750 0.750
Se 0.000 0.000 0.000

[6]
Here is a relaxed structure of Y2AlSe from Alexandria via LeMat-Bulk. Energies are from PBE.

Summary:
- Size of the total moment: 0.0 μB per formula unit
- Relative energy among the computed polymorphs: 175 meV/atom
- Formation energy without anion corrections: -0.97 eV/atom
- Crystal system: trigonal
- DOS at the Fermi energy: 0.4710 states/eV/atom

Lattice parameters (Å, degrees): 3.810 3.810 8.379 76.86 76.86 60.00
Positions (direct):
Y 0.087 0.087 0.740
Y 0.247 0.247 0.259
Al 0.667 0.667 0.998
Se 0.499 0.499 0.503

[7]
Here is a relaxed structure of Y2AlSe from Alexandria via LeMat-Bulk. Energies are from PBE.

Summary:
- Size of the total moment: 0.0 μB per formula unit
- Relative energy among the computed polymorphs: 112 meV/atom
- Formation energy without anion corrections: -1.04 eV/atom
- Crystal system: trigonal
- DOS at the Fermi energy: 0.4897 states/eV/atom

Lattice parameters (Å, degrees): 3.921 3.921 7.973 75.78 75.78 59.95
Positions (direct):
Y 0.004 0.004 0.987
Y 0.496 0.496 0.513
Al 0.250 0.250 0.250
Se 0.750 0.750 0.750

[8]
Here is a relaxed structure of Y2AlSe from Alexandria via LeMat-Bulk. Energies are from PBE.

Summary:
- Size of the total moment: 0.0 μB per formula unit
- Relative energy among the computed polymorphs: 256 meV/atom
- Formation energy without anion corrections: -0.89 eV/atom
- Crystal system: monoclinic
- DOS at the Fermi energy: 0.6873 states/eV/atom

Lattice parameters (Å, degrees): 5.889 5.889 4.670 86.62 86.62 36.87
Positions (direct):
Y 0.991 0.991 0.863
Y 0.261 0.261 0.384
Al 0.523 0.523 0.360
Se 0.725 0.725 0.893

[9]
Here is a relaxed structure of YAlSe from Alexandria via LeMat-Bulk. Energies are from PBE.

Summary:
- Size of the total moment: 0.0 μB per formula unit
- Relative energy among the computed polymorphs: 721 meV/atom
- Formation energy without anion corrections: -0.23 eV/atom
- Crystal system: cubic
- DOS at the Fermi energy: 1.1287 states/eV/atom

Lattice parameters (Å, degrees): 4.897 4.897 4.897 60.00 60.00 60.00
Positions (direct):
Y 0.750 0.750 0.750
Al 0.000 0.000 0.000
Se 0.500 0.500 0.500

[10]
Here is a relaxed structure of YAlSe from Alexandria via LeMat-Bulk. Energies are from PBE.

Summary:
- Size of the total moment: 0.0 μB per formula unit
- Relative energy among the computed polymorphs: 0 meV/atom
- Formation energy without anion corrections: -0.95 eV/atom
- Crystal system: trigonal
- DOS at the Fermi energy: 0.5134 states/eV/atom

Lattice parameters (Å, degrees): 4.476 4.476 9.135 75.82 75.82 60.00
Positions (direct):
Se 0.290 0.290 0.131
Se 0.710 0.710 0.869
Al 0.166 0.166 0.501
Al 0.834 0.834 0.499
Y 0.418 0.418 0.745
Y 0.582 0.582 0.255

[11]
Here is a relaxed structure of Y3AlSe from Alexandria via LeMat-Bulk. Energies are from PBE.

Summary:
- Size of the total moment: 0.0 μB per formula unit
- Relative energy among the computed polymorphs: 0 meV/atom
- Formation energy without anion corrections: -0.50 eV/atom
- Crystal system: cubic
- DOS at the Fermi energy: 0.5496 states/eV/atom

Lattice parameters (Å, degrees): 5.295 5.295 5.295 90.00 90.00 90.00
Positions (direct):
Y 0.000 0.500 0.000
Y 0.000 0.000 0.500
Y 0.500 0.000 0.000
Al 0.500 0.500 0.500
Se 0.000 0.000 0.000

[12]
Here is a relaxed structure of Y2AlSe from Alexandria via LeMat-Bulk. Energies are from PBE.

Summary:
- Size of the total moment: 0.0 μB per formula unit
- Relative energy among the computed polymorphs: 372 meV/atom
- Formation energy without anion corrections: -0.78 eV/atom
- Crystal system: monoclinic
- DOS at the Fermi energy: 0.6608 states/eV/atom

Lattice parameters (Å, degrees): 5.285 5.285 3.526 83.32 83.32 93.28
Positions (direct):
Y 0.000 0.000 0.000
Y 0.500 0.500 0.000
Al 0.500 0.000 0.500
Se 0.000 0.500 0.500

[13]
Here is a relaxed structure of Y2AlSe from Alexandria via LeMat-Bulk. Energies are from PBE.

Summary:
- Size of the total moment: 0.0 μB per formula unit
- Relative energy among the computed polymorphs: 0 meV/atom
- Formation energy without anion corrections: -1.15 eV/atom
- Crystal system: orthorhombic
- DOS at the Fermi energy: 0.4349 states/eV/atom

Lattice parameters (Å, degrees): 4.085 4.289 11.492 100.76 90.00 90.00
Positions (direct):
Y 0.750 0.679 0.358
Y 0.250 0.321 0.642
Y 0.750 0.933 0.866
Y 0.250 0.067 0.134
Al 0.250 0.461 0.923
Al 0.750 0.539 0.077
Se 0.250 0.193 0.386
Se 0.750 0.807 0.614

[14]
Here is a relaxed structure of Y6AlSe4 from Alexandria via LeMat-Bulk. Energies are from PBE.

Summary:
- Size of the total moment: 0.0 μB per formula unit
- Formation energy without anion corrections: -1.38 eV/atom
- Crystal system: orthorhombic
- DOS at the Fermi energy: 0.8228 states/eV/atom

Lattice parameters (Å, degrees): 4.016 7.023 20.775 90.00 90.00 106.61
Positions (direct):
Y 0.500 0.000 0.000
Y 0.500 0.000 0.500
Y 0.054 0.108 0.335
Y 0.946 0.892 0.665
Y 0.946 0.892 0.835
Y 0.054 0.108 0.165
Y 0.769 0.538 0.402
Y 0.231 0.462 0.598
Y 0.231 0.462 0.902
Y 0.769 0.538 0.098
Y 0.340 0.680 0.250
Y 0.660 0.320 0.750
Al 0.673 0.345 0.250
Al 0.327 0.655 0.750
Se 0.857 0.714 0.537
Se 0.415 0.831 0.124
Se 0.143 0.286 0.463
Se 0.585 0.169 0.876
Se 0.857 0.714 0.963
Se 0.143 0.286 0.037
Se 0.585 0.169 0.624
Se 0.415 0.831 0.376

[15]
Here is a relaxed structure of YAlSe from Alexandria via LeMat-Bulk. Energies are from PBE.

Summary:
- Size of the total moment: 0.0 μB per formula unit
- Relative energy among the computed polymorphs: 231 meV/atom
- Formation energy without anion corrections: -0.72 eV/atom
- Crystal system: tetragonal
- DOS at the Fermi energy: 0.5821 states/eV/atom

Lattice parameters (Å, degrees): 6.248 6.248 6.248 145.07 145.07 50.23
Positions (direct):
Y 0.685 0.685 0.000
Al 0.034 0.034 0.000
Se 0.281 0.281 0.000

[16]
Here is a relaxed structure of Y2AlSe from Alexandria via LeMat-Bulk. Energies are from PBE.

Summary:
- Size of the total moment: 0.5 μB per formula unit
- Relative energy among the computed polymorphs: 1076 meV/atom
- Formation energy without anion corrections: -0.07 eV/atom
- Crystal system: cubic
- DOS at the Fermi energy: 1.5496 states/eV/atom

Lattice parameters (Å, degrees): 5.137 5.137 5.137 60.00 60.00 60.00
Positions (direct):
Y 0.000 0.000 0.000
Y 0.250 0.250 0.250
Al 0.500 0.500 0.500
Se 0.750 0.750 0.750

[17]
Here is a relaxed structure of Y2AlSe from Alexandria via LeMat-Bulk. Energies are from PBE.

Summary:
- Size of the total moment: 0.6 μB per formula unit
- Relative energy among the computed polymorphs: 494 meV/atom
- Formation energy without anion corrections: -0.65 eV/atom
- Crystal system: tetragonal
- DOS at the Fermi energy: 0.9348 states/eV/atom

Lattice parameters (Å, degrees): 7.826 7.826 6.504 53.01 53.01 90.00
Positions (direct):
Y 0.643 0.125 0.250
Y 0.107 0.625 0.250
Y 0.375 0.357 0.750
Y 0.875 0.893 0.750
Al 0.500 0.500 0.000
Al 0.250 0.750 0.500
Se 0.000 0.000 0.000
Se 0.750 0.250 0.500

[18]
Here is a relaxed structure of Y2AlSe2 from Alexandria via LeMat-Bulk. Energies are from PBE.

Summary:
- Size of the total moment: 0.0 μB per formula unit
- Relative energy among the computed polymorphs: 202 meV/atom
- Formation energy without anion corrections: -0.79 eV/atom
- Crystal system: tetragonal
- DOS at the Fermi energy: 0.4211 states/eV/atom

Lattice parameters (Å, degrees): 4.892 4.892 7.211 70.17 70.17 90.00
Positions (direct):
Y 0.360 0.360 0.281
Y 0.640 0.640 0.719
Al 0.000 0.000 0.000
Se 0.750 0.250 0.500
Se 0.250 0.750 0.500

[19]
Here is a relaxed structure of Y2AlSe from Alexandria via LeMat-Bulk. Energies are from PBE.

Summary:
- Size of the total moment: 0.0 μB per formula unit
- Relative energy among the computed polymorphs: 440 meV/atom
- Formation energy without anion corrections: -0.71 eV/atom
- Crystal system: orthorhombic
- DOS at the Fermi energy: 0.7529 states/eV/atom

Lattice parameters (Å, degrees): 5.467 5.467 5.467 135.02 116.22 81.43
Positions (direct):
Y 0.015 0.015 0.000
Y 0.485 0.485 0.000
Al 0.750 0.250 0.500
Se 0.250 0.750 0.500

[20]
Here is a relaxed structure of Y8AlSe6 from Alexandria via LeMat-Bulk. Energies are from PBE.

Summary:
- Size of the total moment: 0.0 μB per formula unit
- Formation energy without anion corrections: -1.30 eV/atom
- Crystal system: trigonal
- DOS at the Fermi energy: 0.7397 states/eV/atom

Lattice parameters (Å, degrees): 4.024 10.570 10.570 120.00 90.00 90.00
Positions (direct):
Y 0.750 0.966 0.279
Y 0.750 0.721 0.687
Y 0.750 0.313 0.034
Y 0.250 0.034 0.721
Y 0.250 0.279 0.313
Y 0.250 0.687 0.966
Y 0.750 0.333 0.667
Y 0.250 0.667 0.333
Al 0.500 0.000 0.000
Se 0.748 0.649 0.131
Se 0.748 0.869 0.518
Se 0.748 0.482 0.351
Se 0.252 0.351 0.869
Se 0.252 0.131 0.482
Se 0.252 0.518 0.649

[21]
Here is a relaxed structure of Y2Al2Se from Alexandria via LeMat-Bulk. Energies are from PBE.

Summary:
- Size of the total moment: 0.0 μB per formula unit
- Formation energy without anion corrections: -0.63 eV/atom
- Crystal system: tetragonal
- DOS at the Fermi energy: 0.8215 states/eV/atom

Lattice parameters (Å, degrees): 7.496 7.496 4.600 90.00 90.00 90.00
Positions (direct):
Y 0.330 0.830 0.000
Y 0.830 0.670 0.000
Y 0.670 0.170 0.000
Y 0.170 0.330 0.000
Al 0.125 0.625 0.500
Al 0.625 0.875 0.500
Al 0.875 0.375 0.500
Al 0.375 0.125 0.500
Se 0.000 0.000 0.000
Se 0.500 0.500 0.000

[22]
Here is a relaxed structure of YAlSe from Alexandria via LeMat-Bulk. Energies are from PBE.

Summary:
- Size of the total moment: 0.0 μB per formula unit
- Relative energy among the computed polymorphs: 486 meV/atom
- Formation energy without anion corrections: -0.47 eV/atom
- Crystal system: cubic
- DOS at the Fermi energy: 0.6360 states/eV/atom

Lattice parameters (Å, degrees): 4.775 4.775 4.775 60.00 60.00 60.00
Positions (direct):
Y 0.000 0.000 0.000
Al 0.500 0.500 0.500
Se 0.750 0.750 0.750

[23]
Here is a relaxed structure of Y2AlSe from Alexandria via LeMat-Bulk. Energies are from PBE.

Summary:
- Size of the total moment: 0.0 μB per formula unit
- Relative energy among the computed polymorphs: 458 meV/atom
- Formation energy without anion corrections: -0.69 eV/atom
- Crystal system: tetragonal
- DOS at the Fermi energy: 0.5892 states/eV/atom

Lattice parameters (Å, degrees): 6.200 6.200 6.200 140.18 140.18 57.58
Positions (direct):
Y 0.000 0.000 0.000
Y 0.250 0.750 0.500
Al 0.500 0.500 0.000
Se 0.750 0.250 0.500

[24]
Here is a relaxed structure of Y2AlSe from Alexandria via LeMat-Bulk. Energies are from PBE.

Summary:
- Size of the total moment: 0.0 μB per formula unit
- Relative energy among the computed polymorphs: 510 meV/atom
- Formation energy without anion corrections: -0.64 eV/atom
- Crystal system: cubic
- DOS at the Fermi energy: 1.1695 states/eV/atom

Lattice parameters (Å, degrees): 5.156 5.156 5.156 60.00 60.00 60.00
Positions (direct):
Y 0.250 0.250 0.250
Y 0.750 0.750 0.750
Al 0.000 0.000 0.000
Se 0.500 0.500 0.500

[25]
Here is a relaxed structure of Y6AlSe3 from Alexandria via LeMat-Bulk. Energies are from PBE.

Summary:
- Size of the total moment: 0.3 μB per formula unit
- Formation energy without anion corrections: -1.09 eV/atom
- Crystal system: monoclinic
- DOS at the Fermi energy: 0.8586 states/eV/atom

Lattice parameters (Å, degrees): 3.940 11.884 12.004 108.24 90.00 90.00
Positions (direct):
Y 0.750 0.497 0.638
Y 0.250 0.503 0.362
Y 0.750 0.923 0.099
Y 0.250 0.077 0.901
Y 0.750 0.382 0.069
Y 0.250 0.618 0.931
Y 0.750 0.732 0.264
Y 0.250 0.268 0.736
Y 0.750 0.120 0.471
Y 0.250 0.880 0.529
Y 0.750 0.801 0.747
Y 0.250 0.199 0.253
Al 0.750 0.049 0.697
Al 0.250 0.951 0.303
Se 0.750 0.437 0.850
Se 0.250 0.563 0.150
Se 0.750 0.674 0.492
Se 0.250 0.326 0.508
Se 0.750 0.149 0.077
Se 0.250 0.851 0.923

[26]
Here is a relaxed structure of YAlSe from Alexandria via LeMat-Bulk. Energies are from PBE.

Summary:
- Size of the total moment: 0.0 μB per formula unit
- Relative energy among the computed polymorphs: 336 meV/atom
- Formation energy without anion corrections: -0.62 eV/atom
- Crystal system: hexagonal
- DOS at the Fermi energy: 0.3212 states/eV/atom

Lattice parameters (Å, degrees): 4.648 4.648 3.611 90.00 90.00 120.00
Positions (direct):
Y 0.333 0.667 0.667
Al 0.000 0.000 0.166
Se 0.667 0.333 0.167